Compound: Sm3Ho6Mg
Source: Alexandria
Functional: GGA-PBE
Structure: optimized geometry

Summary:
* volume: 32.22 Å³ per atom
* D(E_F): 28.6 states/eV per cell
* formation energy from the elements: 18.4 kJ per mole of atoms
* ρ: 7.55 g cm⁻³

Cell lengths 10.373, 10.373, 10.373 Å; angles 52.19, 52.19, 52.19 degrees
Fractional positions:
1 Sm 0.275 0.574 0.149
2 Sm 0.149 0.275 0.574
3 Sm 0.725 0.426 0.851
4 Sm 0.426 0.851 0.725
5 Sm 0.574 0.149 0.275
6 Sm 0.851 0.725 0.426
7 Ho 0.121 0.702 0.857
8 Ho 0.879 0.298 0.143
9 Ho 0.414 0.291 0.978
10 Ho 0.709 0.022 0.586
11 Ho 0.702 0.857 0.121
12 Ho 0.586 0.709 0.022
13 Ho 0.291 0.978 0.414
14 Ho 0.978 0.414 0.291
15 Ho 0.143 0.879 0.298
16 Ho 0.298 0.143 0.879
17 Ho 0.857 0.121 0.702
18 Ho 0.022 0.586 0.709
19 Mg 0.500 0.500 0.500
20 Mg 0.000 0.000 0.000